[1]
The following is a DFT calculation (GGA-PBE) of crystalline CeEr2Fe at its relaxed geometry.

```
4
Lattice="3.303 0.000 0.000 0.000 3.303 0.000 0.000 0.000 8.953" Properties=species:S:1:pos:R:3 pbc="T T T"
Fe 1.652 1.652 0.000
Er 0.000 0.000 7.359
Ce 1.652 1.652 4.476
Er 0.000 0.000 1.594
```

Computed properties:
Its crystal system is tetragonal. As for the energy above the lowest structure with this stoichiometry: 0.94 eV/f.u. The calculation puts the density at 9019 kg/m³. For the formation enthalpy at 0 K, the calculation gives 0.37 eV per formula unit. Its space-group type is P4/mmm.

[2]
The following is a DFT calculation (GGA-PBE) of crystalline CaLa3Pr3 at its relaxed geometry.

```
14
Lattice="8.963 0.000 0.000 4.481 7.762 0.000 4.481 2.587 7.757" Properties=species:S:1:pos:R:3 pbc="T T T"
La 11.887 4.271 2.830
Ca 8.963 5.175 0.254
Pr 11.368 7.707 1.384
Pr 7.972 8.524 6.373
La 6.718 3.093 2.830
Pr 12.358 4.358 6.373
Pr 9.953 1.825 1.384
Ca 8.963 5.175 7.503
La 9.642 2.190 4.927
La 11.208 7.256 4.927
Pr 5.567 5.991 1.384
La 6.038 6.078 4.927
Pr 6.557 2.642 6.373
La 8.283 8.159 2.830
```

Computed properties:
Its crystal system is trigonal. The calculation puts the density at 5413 kg/m³. For the formation enthalpy at 0 K, the calculation gives 1.32 eV per formula unit. Its space-group type is R-3.